# 1
Ba3LaO4: relaxed, PBE-GGA.

Values from the calculation:
Energy relative to the elements, uncorrected in eV/atom: -2.545
ΔE to the lowest computed polymorph in kcal/mol of atoms: 0.42

a b c (Å): 5.480 5.480 11.023
angles (deg): 90.00 90.00 90.00
Space group I4/mmm (No. 139)
Unique sites:
1 Ba 0.000 0.000 0.000 x2
2 Ba 0.000 0.500 0.250 x4
3 La 0.000 0.000 0.500 x2
4 O 0.000 0.000 0.282 x4
5 O 0.000 0.500 0.000 x4

# 2
La2CeRu: relaxed, PBE-GGA.

Values from the calculation:
ΔH_f (0 K) in eV/f.u.: 0.695
ΔE to the lowest computed polymorph in kcal/mol of atoms: 9.87

a b c (Å): 3.8731 3.8731 31.5432
angles (deg): 90.00 90.00 120.00
Space group R-3m (No. 166, hexagonal axes)
Unique sites:
1 La 0.0000 0.0000 0.1132 x6
2 Ce 0.0000 0.0000 0.0000 x3
3 Ru 0.0000 0.0000 0.5000 x3

# 3
Li2LaTcIr: relaxed, PBE-GGA.

Values from the calculation:
ΔH_f (0 K) in eV/f.u.: 1.503

a b c (Å): 4.634 4.634 4.780
angles (deg): 90.00 90.00 90.00
Space group P4/mmm (No. 123)
Unique sites:
1 Li 0.000 0.500 0.000 x2
2 La 0.000 0.000 0.500 x1
3 Tc 0.500 0.500 0.000 x1
4 Ir 0.500 0.500 0.500 x1

Number 1: DOS(E_F) 0.3118 states/eV/atom, magnetization 0.00 μB per cell. Number 2: DOS(E_F) 2.2532 states/eV/atom, magnetization 5.57 μB per cell. Number 3: DOS(E_F) 0.9778 states/eV/atom, magnetization 0.36 μB per cell.